The following is a DFT calculation (GGA-PBE) of a relaxed structure of LaScBe2.

Computed properties:
For the total magnetization, the calculation gives 0.002 Bohr magnetons per cell. The formation energy is 272.7 meV/atom.

Cell: 3.0386 3.0386 8.0834 Å, 90.00 90.00 90.00°
Fractional positions:
La: 0.0000 0.0000 0.0000
Sc: 0.5000 0.5000 0.3733
Be: 0.0000 0.0000 0.5991
Be: 0.5000 0.5000 0.7128